Record 1
MgCrRu | GGA-PBE | optimized geometry

ΔH_f (0 K)	153	kJ/mol of formula units
relative energy among the computed polymorphs	0.4556	eV/atom
total DFT energy (no corrections)	-6.302	eV per atom
total magnetic moment	1.953	μB per formula unit

Cell and atoms, written as CIF:
```
data_MgCrRu
_chemical_formula_sum 'Mg1 Cr1 Ru1'
_symmetry_space_group_name_H-M 'P 1'
_symmetry_Int_Tables_number 1
_symmetry_space_group_name_Hall 'P 1'
_cell_length_a 4.188
_cell_length_b 4.188
_cell_length_c 4.188
_cell_angle_alpha 60.00
_cell_angle_beta 60.00
_cell_angle_gamma 60.00
loop_
_atom_site_label
_atom_site_fract_x
_atom_site_fract_y
_atom_site_fract_z
_atom_site_occupancy
Cr1 0.000 0.000 0.000 1
Mg1 0.500 0.500 0.500 1
Ru1 0.750 0.750 0.750 1
```

Record 2
MgCrRu2 | GGA-PBE | optimized geometry

ΔH_f (0 K)	109	kJ/mol of formula units
total DFT energy (no corrections)	-7.160	eV per atom
total magnetic moment	1.853	μB per formula unit

Cell and atoms, written as CIF:
```
data_MgCrRu2
_chemical_formula_sum 'Mg1 Cr1 Ru2'
_symmetry_space_group_name_H-M 'P 1'
_symmetry_Int_Tables_number 1
_symmetry_space_group_name_Hall 'P 1'
_cell_length_a 3.006
_cell_length_b 4.563
_cell_length_c 4.223
_cell_angle_alpha 90.00
_cell_angle_beta 90.00
_cell_angle_gamma 90.00
loop_
_atom_site_label
_atom_site_fract_x
_atom_site_fract_y
_atom_site_fract_z
_atom_site_occupancy
Cr1 0.500 0.000 0.500 1
Mg1 0.000 0.500 0.500 1
Ru1 0.000 0.000 0.000 1
Ru2 0.500 0.500 0.000 1
```

Record 3
MgCrRu | GGA-PBE | optimized geometry

ΔH_f (0 K)	111	kJ/mol of formula units
relative energy among the computed polymorphs	0.3104	eV/atom
total DFT energy (no corrections)	-6.447	eV per atom
total magnetic moment	0.002	μB per formula unit

Cell and atoms, written as CIF:
```
data_MgCrRu
_chemical_formula_sum 'Mg2 Cr2 Ru2'
_symmetry_space_group_name_H-M 'P 1'
_symmetry_Int_Tables_number 1
_symmetry_space_group_name_Hall 'P 1'
_cell_length_a 4.226
_cell_length_b 4.226
_cell_length_c 5.917
_cell_angle_alpha 90.00
_cell_angle_beta 90.00
_cell_angle_gamma 90.00
loop_
_atom_site_label
_atom_site_fract_x
_atom_site_fract_y
_atom_site_fract_z
_atom_site_occupancy
Mg1 0.500 0.500 0.500 1
Mg2 0.000 0.000 0.500 1
Cr1 0.500 0.500 0.000 1
Cr2 0.000 0.000 0.000 1
Ru1 0.500 0.000 0.820 1
Ru2 0.000 0.500 0.180 1
```

Record 4
MgCr2Ru | GGA-PBE | optimized geometry

ΔH_f (0 K)	155	kJ/mol of formula units
total DFT energy (no corrections)	-7.128	eV per atom
total magnetic moment	3.918	μB per formula unit

Cell and atoms, written as CIF:
```
data_MgCr2Ru
_chemical_formula_sum 'Mg1 Cr2 Ru1'
_symmetry_space_group_name_H-M 'P 1'
_symmetry_Int_Tables_number 1
_symmetry_space_group_name_Hall 'P 1'
_cell_length_a 4.346
_cell_length_b 4.346
_cell_length_c 3.000
_cell_angle_alpha 90.00
_cell_angle_beta 90.00
_cell_angle_gamma 90.00
loop_
_atom_site_label
_atom_site_fract_x
_atom_site_fract_y
_atom_site_fract_z
_atom_site_occupancy
Cr1 0.000 0.000 0.000 1
Cr2 0.500 0.500 0.000 1
Mg1 0.500 0.000 0.500 1
Ru1 0.000 0.500 0.500 1
```

Record 5
MgCr2Ru | GGA-PBE | optimized geometry

ΔH_f (0 K)	287	kJ/mol of formula units
total DFT energy (no corrections)	-6.785	eV per atom
total magnetic moment	0.000	μB per formula unit

Cell and atoms, written as CIF:
```
data_MgCr2Ru
_chemical_formula_sum 'Mg2 Cr4 Ru2'
_symmetry_space_group_name_H-M 'P 1'
_symmetry_Int_Tables_number 1
_symmetry_space_group_name_Hall 'P 1'
_cell_length_a 6.957
_cell_length_b 6.957
_cell_length_c 5.548
_cell_angle_alpha 51.17
_cell_angle_beta 51.17
_cell_angle_gamma 90.00
loop_
_atom_site_label
_atom_site_fract_x
_atom_site_fract_y
_atom_site_fract_z
_atom_site_occupancy
Ru1 0.000 0.000 0.000 1
Ru2 0.750 0.250 0.500 1
Mg1 0.500 0.500 0.000 1
Mg2 0.250 0.750 0.500 1
Cr1 0.674 0.125 0.250 1
Cr2 0.076 0.625 0.250 1
Cr3 0.375 0.326 0.750 1
Cr4 0.875 0.924 0.750 1
```

Record 6
MgCrRu2 | GGA-PBE | optimized geometry

ΔH_f (0 K)	70	kJ/mol of formula units
total DFT energy (no corrections)	-7.262	eV per atom
total magnetic moment	0.617	μB per formula unit

Cell and atoms, written as CIF:
```
data_MgCrRu2
_chemical_formula_sum 'Mg1 Cr1 Ru2'
_symmetry_space_group_name_H-M 'P 1'
_symmetry_Int_Tables_number 1
_symmetry_space_group_name_Hall 'P 1'
_cell_length_a 3.943
_cell_length_b 2.765
_cell_length_c 5.435
_cell_angle_alpha 75.47
_cell_angle_beta 90.00
_cell_angle_gamma 90.00
loop_
_atom_site_label
_atom_site_fract_x
_atom_site_fract_y
_atom_site_fract_z
_atom_site_occupancy
Cr1 0.500 0.250 0.250 1
Mg1 0.500 0.750 0.750 1
Ru1 0.000 0.080 0.021 1
Ru2 0.000 0.420 0.479 1
```